1.
# PrMnTe3 | Alexandria via LeMat-Bulk | GGA-PBE | optimized geometry
# offset from the most stable computed form: 26 meV per atom
# E: -5.43 eV/atom
data_PrMnTe3
_chemical_formula_sum 'Pr4 Mn4 Te12'
_space_group_name_H-M_alt 'P b c m'
_space_group_IT_number 57
_cell_length_a 12.440
_cell_length_b 7.715
_cell_length_c 6.259
_cell_angle_alpha 90.00
_cell_angle_beta 90.00
_cell_angle_gamma 90.00
loop_
_space_group_symop_operation_xyz
'x,y,z'
'-x,-y,-z'
'-x,-y,z+1/2'
'x,y,-z+1/2'
'x,-y+1/2,-z'
'-x,y+1/2,z'
'-x,y+1/2,-z+1/2'
'x,-y+1/2,z+1/2'
loop_
_atom_site_label
_atom_site_fract_x
_atom_site_fract_y
_atom_site_fract_z
Pr1 0.165 0.053 0.250
Mn1 0.424 0.250 0.000
Te1 0.035 0.750 0.000
Te2 0.263 0.070 0.750
Te3 0.419 0.566 0.750


2.
# PrMnTe2 | Alexandria via LeMat-Bulk | GGA-PBE | optimized geometry
# offset from the most stable computed form: 473 meV per atom
# E: -5.29 eV/atom
data_PrMnTe2
_chemical_formula_sum 'Pr3 Mn3 Te6'
_space_group_name_H-M_alt 'R -3 m'
_space_group_IT_number 166
_space_group_name_Hall '-R 3 2"'
_cell_length_a 3.9567
_cell_length_b 3.9567
_cell_length_c 28.3159
_cell_angle_alpha 90.00
_cell_angle_beta 90.00
_cell_angle_gamma 120.00
loop_
_atom_site_label
_atom_site_fract_x
_atom_site_fract_y
_atom_site_fract_z
Pr1 0.0000 0.0000 0.0000
Mn1 0.0000 0.0000 0.5000
Te1 0.0000 0.0000 0.1112


3.
# Pr2MnTe4 | Alexandria via LeMat-Bulk | GGA-PBE | optimized geometry
# E: -5.51 eV/atom
data_Pr2MnTe4
_chemical_formula_sum 'Pr4 Mn2 Te8'
_space_group_name_H-M_alt 'C 1 2/m 1'
_space_group_IT_number 12
_cell_length_a 12.379
_cell_length_b 4.303
_cell_length_c 9.059
_cell_angle_alpha 90.00
_cell_angle_beta 119.63
_cell_angle_gamma 90.00
loop_
_space_group_symop_operation_xyz
'x,y,z'
'-x,-y,-z'
'-x,y,-z'
'x,-y,z'
'x+1/2,y+1/2,z'
'-x+1/2,-y+1/2,-z'
'-x+1/2,y+1/2,-z'
'x+1/2,-y+1/2,z'
loop_
_atom_site_label
_atom_site_fract_x
_atom_site_fract_y
_atom_site_fract_z
Pr1 0.165 0.000 0.186
Mn1 0.000 0.500 0.500
Te1 0.072 0.500 0.868
Te2 0.156 0.000 0.540


4.
# Pr2MnTl3Te6 | Alexandria via LeMat-Bulk | GGA-PBE | optimized geometry
# E: -4.46 eV/atom
data_Pr2MnTl3Te6
_chemical_formula_sum 'Pr4 Mn2 Tl6 Te12'
_space_group_name_H-M_alt 'C 1 2/m 1'
_space_group_IT_number 12
_cell_length_a 7.768
_cell_length_b 13.391
_cell_length_c 8.440
_cell_angle_alpha 90.00
_cell_angle_beta 108.47
_cell_angle_gamma 90.00
loop_
_space_group_symop_operation_xyz
'x,y,z'
'-x,-y,-z'
'-x,y,-z'
'x,-y,z'
'x+1/2,y+1/2,z'
'-x+1/2,-y+1/2,-z'
'-x+1/2,y+1/2,-z'
'x+1/2,-y+1/2,z'
loop_
_atom_site_label
_atom_site_fract_x
_atom_site_fract_y
_atom_site_fract_z
Pr1 0.000 0.163 0.000
Mn1 0.000 0.500 0.000
Tl1 0.000 0.000 0.500
Tl2 0.000 0.321 0.500
Te1 0.219 0.349 0.207
Te2 0.236 0.500 0.772


5.
# Pr2TmMnTe5 | Alexandria via LeMat-Bulk | GGA-PBE | optimized geometry
# E: -5.46 eV/atom
data_Pr2TmMnTe5
_chemical_formula_sum 'Pr8 Tm4 Mn4 Te20'
_space_group_name_H-M_alt 'C m c 21'
_space_group_IT_number 36
_cell_length_a 4.322
_cell_length_b 18.720
_cell_length_c 13.378
_cell_angle_alpha 90.00
_cell_angle_beta 90.00
_cell_angle_gamma 90.00
loop_
_space_group_symop_operation_xyz
'x,y,z'
'-x,-y,z+1/2'
'-x,y,z'
'x,-y,z+1/2'
'x+1/2,y+1/2,z'
'-x+1/2,-y+1/2,z+1/2'
'-x+1/2,y+1/2,z'
'x+1/2,-y+1/2,z+1/2'
loop_
_atom_site_label
_atom_site_fract_x
_atom_site_fract_y
_atom_site_fract_z
Pr1 0.000 0.115 0.000
Pr2 0.000 0.123 0.351
Tm1 0.000 0.178 0.676
Mn1 0.000 0.440 0.080
Te1 0.000 0.015 0.677
Te2 0.000 0.303 0.012
Te3 0.000 0.305 0.338
Te4 0.000 0.341 0.673
Te5 0.000 0.498 0.405


6.
# PrThMn4 | Alexandria via LeMat-Bulk | GGA-PBE | optimized geometry
# energy of formation from the pure elements: 0.187 eV/atom
# E: -7.96 eV/atom
data_PrThMn4
_chemical_formula_sum 'Pr4 Th4 Mn16'
_space_group_name_H-M_alt 'F -4 3 m'
_space_group_IT_number 216
_space_group_name_Hall 'F -4 2 3'
_cell_length_a 7.485
_cell_length_b 7.485
_cell_length_c 7.485
_cell_angle_alpha 90.00
_cell_angle_beta 90.00
_cell_angle_gamma 90.00
loop_
_atom_site_label
_atom_site_fract_x
_atom_site_fract_y
_atom_site_fract_z
Pr1 0.000 0.000 0.000
Th1 0.250 0.250 0.750
Mn1 0.125 0.125 0.375


7.
# PrTh2Mn | Alexandria via LeMat-Bulk | GGA-PBE | optimized geometry
# offset from the most stable computed form: 218 meV per atom
# energy of formation from the pure elements: 0.388 eV/atom
# E: -6.81 eV/atom
data_PrTh2Mn
_chemical_formula_sum 'Pr3 Th6 Mn3'
_space_group_name_H-M_alt 'R -3 m'
_space_group_IT_number 166
_space_group_name_Hall '-R 3 2"'
_cell_length_a 3.7806
_cell_length_b 3.7806
_cell_length_c 30.2913
_cell_angle_alpha 90.00
_cell_angle_beta 90.00
_cell_angle_gamma 120.00
loop_
_atom_site_label
_atom_site_fract_x
_atom_site_fract_y
_atom_site_fract_z
Pr1 0.0000 0.0000 0.0000
Th1 0.0000 0.0000 0.1155
Mn1 0.0000 0.0000 0.5000


8.
# PrTh2Mn | Alexandria via LeMat-Bulk | GGA-PBE | optimized geometry
# offset from the most stable computed form: 0 meV per atom
# energy of formation from the pure elements: 0.170 eV/atom
# E: -7.03 eV/atom
data_PrTh2Mn
_chemical_formula_sum 'Pr1 Th2 Mn1'
_space_group_name_H-M_alt 'P 4/m m m'
_space_group_IT_number 123
_space_group_name_Hall '-P 4 2'
_cell_length_a 3.594
_cell_length_b 3.594
_cell_length_c 8.740
_cell_angle_alpha 90.00
_cell_angle_beta 90.00
_cell_angle_gamma 90.00
loop_
_atom_site_label
_atom_site_fract_x
_atom_site_fract_y
_atom_site_fract_z
Pr1 0.000 0.000 0.000
Th1 0.500 0.500 0.300
Mn1 0.000 0.000 0.500


9.
# PrTh3Mn | Alexandria via LeMat-Bulk | GGA-PBE | optimized geometry
# energy of formation from the pure elements: 0.140 eV/atom
# E: -7.10 eV/atom
data_PrTh3Mn
_chemical_formula_sum 'Pr1 Th3 Mn1'
_space_group_name_H-M_alt 'P m -3 m'
_space_group_IT_number 221
_space_group_name_Hall '-P 4 2 3'
_cell_length_a 5.346
_cell_length_b 5.346
_cell_length_c 5.346
_cell_angle_alpha 90.00
_cell_angle_beta 90.00
_cell_angle_gamma 90.00
loop_
_atom_site_label
_atom_site_fract_x
_atom_site_fract_y
_atom_site_fract_z
Pr1 0.000 0.000 0.000
Th1 0.000 0.500 0.500
Mn1 0.500 0.500 0.500


10.
# PrThMnZn | Alexandria via LeMat-Bulk | GGA-PBE | optimized geometry
# energy of formation from the pure elements: 0.070 eV/atom
# E: -5.59 eV/atom
data_PrThMnZn
_chemical_formula_sum 'Pr4 Th4 Mn4 Zn4'
_space_group_name_H-M_alt 'F -4 3 m'
_space_group_IT_number 216
_space_group_name_Hall 'F -4 2 3'
_cell_length_a 7.322
_cell_length_b 7.322
_cell_length_c 7.322
_cell_angle_alpha 90.00
_cell_angle_beta 90.00
_cell_angle_gamma 90.00
loop_
_atom_site_label
_atom_site_fract_x
_atom_site_fract_y
_atom_site_fract_z
Pr1 0.000 0.000 0.000
Th1 0.000 0.000 0.500
Mn1 0.250 0.250 0.750
Zn1 0.250 0.250 0.250


11.
# Pr3Tm3Mn23 | Alexandria via LeMat-Bulk | GGA-PBE | optimized geometry
# energy of formation from the pure elements: 0.084 eV/atom
# E: -8.14 eV/atom
data_Pr3Tm3Mn23
_chemical_formula_sum 'Pr9 Tm9 Mn69'
_space_group_name_H-M_alt 'R 3 m'
_space_group_IT_number 160
_space_group_name_Hall 'R 3 -2"'
_cell_length_a 8.6724
_cell_length_b 8.6724
_cell_length_c 21.3083
_cell_angle_alpha 90.00
_cell_angle_beta 90.00
_cell_angle_gamma 120.00
loop_
_atom_site_label
_atom_site_fract_x
_atom_site_fract_y
_atom_site_fract_z
Pr1 0.1992 0.3983 0.0000
Tm1 0.0578 0.5289 0.1366
Mn1 0.0000 0.0000 0.0213
Mn2 0.0000 0.0000 0.2223
Mn3 0.0000 0.0000 0.5772
Mn4 0.0000 0.0000 0.7792
Mn5 0.0000 0.0000 0.8980
Mn6 0.0047 0.5024 0.4027
Mn7 0.0125 0.5062 0.5254
Mn8 0.0978 0.1956 0.1264
Mn9 0.1701 0.3402 0.2303
Mn10 0.1716 0.3432 0.6063
Mn11 0.1934 0.0967 0.6754


12.
# PrTm2Mn | Alexandria via LeMat-Bulk | GGA-PBE | optimized geometry
# offset from the most stable computed form: 0 meV per atom
# energy of formation from the pure elements: 0.098 eV/atom
# E: -5.62 eV/atom
data_PrTm2Mn
_chemical_formula_sum 'Pr1 Tm2 Mn1'
_space_group_name_H-M_alt 'P 4/m m m'
_space_group_IT_number 123
_space_group_name_Hall '-P 4 2'
_cell_length_a 3.455
_cell_length_b 3.455
_cell_length_c 9.043
_cell_angle_alpha 90.00
_cell_angle_beta 90.00
_cell_angle_gamma 90.00
loop_
_atom_site_label
_atom_site_fract_x
_atom_site_fract_y
_atom_site_fract_z
Pr1 0.000 0.000 0.000
Tm1 0.500 0.500 0.311
Mn1 0.000 0.000 0.500